[1]
# PaAlZn2 | the Alexandria database | GGA-PBE | relaxed
# Crystal system = tetragonal
# Density of states at the Fermi level = 1.10 states/eV per atom
# DFT formation energy = 6.9 meV per atom
# Size of the total moment = 0.7 μB/f.u.
# ΔE to the lowest computed polymorph = 0.392 eV per formula unit
data_PaAlZn2
_chemical_formula_sum 'Pa1 Al1 Zn2'
_symmetry_space_group_name_H-M 'P 4/m m m'
_symmetry_Int_Tables_number 123
_symmetry_space_group_name_Hall '-P 4 2'
_cell_length_a 3.248
_cell_length_b 3.248
_cell_length_c 7.031
_cell_angle_alpha 90.00
_cell_angle_beta 90.00
_cell_angle_gamma 90.00
loop_
_atom_site_label
_atom_site_type_symbol
_atom_site_fract_x
_atom_site_fract_y
_atom_site_fract_z
_atom_site_occupancy
Pa1 Pa 0.000 0.000 0.000 1
Al1 Al 0.000 0.000 0.500 1
Zn1 Zn 0.500 0.500 0.294 1

[2]
# PaAl2Zn10 | the Alexandria database | GGA-PBE | relaxed
# Crystal system = orthorhombic
# Density of states at the Fermi level = 0.60 states/eV per atom
# DFT formation energy = -77.0 meV per atom
# Size of the total moment = 0.0 μB/f.u.
data_PaAl2Zn10
_chemical_formula_sum 'Pa4 Al8 Zn40'
_symmetry_space_group_name_H-M 'F m m m'
_symmetry_Int_Tables_number 69
_symmetry_space_group_name_Hall '-F 2 2'
_cell_length_a 5.386
_cell_length_b 12.405
_cell_length_c 12.582
_cell_angle_alpha 90.00
_cell_angle_beta 90.00
_cell_angle_gamma 90.00
loop_
_atom_site_label
_atom_site_type_symbol
_atom_site_fract_x
_atom_site_fract_y
_atom_site_fract_z
_atom_site_occupancy
Pa1 Pa 0.000 0.000 0.000 1
Al1 Al 0.250 0.250 0.000 1
Zn1 Zn 0.000 0.106 0.392 1
Zn2 Zn 0.000 0.177 0.177 1
Zn3 Zn 0.250 0.000 0.250 1

[3]
# Pa2Al3Zn9 | the Alexandria database | GGA-PBE | relaxed
# Crystal system = orthorhombic
# Density of states at the Fermi level = 0.72 states/eV per atom
# DFT formation energy = -108.4 meV per atom
# Size of the total moment = 0.0 μB/f.u.
data_Pa2Al3Zn9
_chemical_formula_sum 'Pa8 Al12 Zn36'
_symmetry_space_group_name_H-M 'C m c m'
_symmetry_Int_Tables_number 63
_symmetry_space_group_name_Hall '-C 2c 2'
_cell_length_a 13.611
_cell_length_b 7.843
_cell_length_c 9.002
_cell_angle_alpha 90.00
_cell_angle_beta 90.00
_cell_angle_gamma 90.00
loop_
_atom_site_label
_atom_site_type_symbol
_atom_site_fract_x
_atom_site_fract_y
_atom_site_fract_z
_atom_site_occupancy
Pa1 Pa 0.162 0.163 0.250 1
Al1 Al 0.000 0.000 0.000 1
Al2 Al 0.187 0.500 0.000 1
Zn1 Zn 0.000 0.147 0.750 1
Zn2 Zn 0.000 0.336 0.060 1
Zn3 Zn 0.095 0.453 0.750 1
Zn4 Zn 0.158 0.183 0.594 1

[4]
# PaAlZn2 | the Alexandria database | GGA-PBE | relaxed
# Crystal system = trigonal
# Density of states at the Fermi level = 0.78 states/eV per atom
# DFT formation energy = 286.1 meV per atom
# Size of the total moment = 0.0 μB/f.u.
# ΔE to the lowest computed polymorph = 1.509 eV per formula unit
data_PaAlZn2
_chemical_formula_sum 'Pa3 Al3 Zn6'
_symmetry_space_group_name_H-M 'R -3 m'
_symmetry_Int_Tables_number 166
_symmetry_space_group_name_Hall '-R 3 2"'
_cell_length_a 2.9515
_cell_length_b 2.9515
_cell_length_c 31.5255
_cell_angle_alpha 90.00
_cell_angle_beta 90.00
_cell_angle_gamma 120.00
loop_
_atom_site_label
_atom_site_type_symbol
_atom_site_fract_x
_atom_site_fract_y
_atom_site_fract_z
_atom_site_occupancy
Pa1 Pa 0.0000 0.0000 0.0000 1
Al1 Al 0.0000 0.0000 0.5000 1
Zn1 Zn 0.0000 0.0000 0.0969 1

[5]
# Pa2Al3Zn5 | the Alexandria database | GGA-PBE | relaxed
# Crystal system = orthorhombic
# Density of states at the Fermi level = 0.98 states/eV per atom
# DFT formation energy = -150.9 meV per atom
# Size of the total moment = 1.0 μB/f.u.
data_Pa2Al3Zn5
_chemical_formula_sum 'Pa8 Al12 Zn20'
_symmetry_space_group_name_H-M 'I b a m'
_symmetry_Int_Tables_number 72
_symmetry_space_group_name_Hall '-I 2 2c'
_cell_length_a 10.462
_cell_length_b 11.837
_cell_length_c 5.911
_cell_angle_alpha 90.00
_cell_angle_beta 90.00
_cell_angle_gamma 90.00
loop_
_atom_site_label
_atom_site_type_symbol
_atom_site_fract_x
_atom_site_fract_y
_atom_site_fract_z
_atom_site_occupancy
Pa1 Pa 0.246 0.124 0.000 1
Al1 Al 0.000 0.500 0.250 1
Al2 Al 0.132 0.129 0.500 1
Zn1 Zn 0.000 0.000 0.250 1
Zn2 Zn 0.000 0.259 0.250 1
Zn3 Zn 0.139 0.376 0.000 1

[6]
# PaAl6Zn | the Alexandria database | GGA-PBE | relaxed
# Crystal system = orthorhombic
# Density of states at the Fermi level = 0.67 states/eV per atom
# DFT formation energy = -34.8 meV per atom
# Size of the total moment = 0.0 μB/f.u.
data_PaAl6Zn
_chemical_formula_sum 'Pa2 Al12 Zn2'
_symmetry_space_group_name_H-M 'C m m m'
_symmetry_Int_Tables_number 65
_symmetry_space_group_name_Hall '-C 2 2'
_cell_length_a 6.790
_cell_length_b 9.952
_cell_length_c 4.434
_cell_angle_alpha 90.00
_cell_angle_beta 90.00
_cell_angle_gamma 90.00
loop_
_atom_site_label
_atom_site_type_symbol
_atom_site_fract_x
_atom_site_fract_y
_atom_site_fract_z
_atom_site_occupancy
Pa1 Pa 0.000 0.000 0.000 1
Al1 Al 0.000 0.213 0.500 1
Al2 Al 0.201 0.500 0.500 1
Al3 Al 0.250 0.250 0.000 1
Zn1 Zn 0.000 0.500 0.000 1

[7]
# PaAl2Zn2 | the Alexandria database | GGA-PBE | relaxed
# Crystal system = trigonal
# Density of states at the Fermi level = 0.82 states/eV per atom
# DFT formation energy = 76.4 meV per atom
# Size of the total moment = 0.0 μB/f.u.
# ΔE to the lowest computed polymorph = 1.297 eV per formula unit
data_PaAl2Zn2
_chemical_formula_sum 'Pa1 Al2 Zn2'
_symmetry_space_group_name_H-M 'P -3 m 1'
_symmetry_Int_Tables_number 164
_symmetry_space_group_name_Hall '-P 3 2"'
_cell_length_a 4.4264
_cell_length_b 4.4264
_cell_length_c 6.1034
_cell_angle_alpha 90.00
_cell_angle_beta 90.00
_cell_angle_gamma 120.00
loop_
_atom_site_label
_atom_site_type_symbol
_atom_site_fract_x
_atom_site_fract_y
_atom_site_fract_z
_atom_site_occupancy
Pa1 Pa 0.0000 0.0000 0.0000 1
Al1 Al 0.3333 0.6667 0.6942 1
Zn1 Zn 0.3333 0.6667 0.2485 1

[8]
# Pa2Al3Zn4 | the Alexandria database | GGA-PBE | relaxed
# Crystal system = orthorhombic
# Density of states at the Fermi level = 1.16 states/eV per atom
# DFT formation energy = -121.4 meV per atom
# Size of the total moment = 0.0 μB/f.u.
data_Pa2Al3Zn4
_chemical_formula_sum 'Pa8 Al12 Zn16'
_symmetry_space_group_name_H-M 'C m c e'
_symmetry_Int_Tables_number 64
_symmetry_space_group_name_Hall '-C 2ac 2'
_cell_length_a 5.749
_cell_length_b 15.023
_cell_length_c 7.725
_cell_angle_alpha 90.00
_cell_angle_beta 90.00
_cell_angle_gamma 90.00
loop_
_atom_site_label
_atom_site_type_symbol
_atom_site_fract_x
_atom_site_fract_y
_atom_site_fract_z
_atom_site_occupancy
Pa1 Pa 0.000 0.105 0.098 1
Al1 Al 0.000 0.000 0.500 1
Al2 Al 0.250 0.230 0.750 1
Zn1 Zn 0.000 0.178 0.479 1
Zn2 Zn 0.250 0.060 0.750 1